The following is a DFT calculation (PBE) of crystalline GaHgH2 at its relaxed geometry.

Results
Energy above the most stable polymorph in this dataset in meV per atom: 102
Mass density in g cm⁻³: 7.47
Total DFT energy (no corrections) in eV for the cell shown: -8.8

Lattice parameters (Å, degrees): 4.657 4.657 3.063 90.00 90.00 114.20
Fractional positions:
1 Ga 0.000 0.000 0.000
2 Hg 0.500 0.500 0.500
3 H 0.199 0.801 0.000
4 H 0.801 0.199 0.000



The following is a DFT calculation (PBE) of crystalline AcDyAu2 at its relaxed geometry.

Results
Energy above the most stable polymorph in this dataset in meV per atom: 111
Energy of formation from the pure elements in eV/atom: -0.7174
Mass density in g cm⁻³: 10.94
Total DFT energy (no corrections) in eV for the cell shown: -18.1

Lattice parameters (Å, degrees): 8.006 8.006 8.006 30.74 30.74 30.74
Fractional positions:
1 Ac 0.000 0.000 0.000
2 Dy 0.171 0.171 0.171
3 Au 0.428 0.428 0.428
4 Au 0.576 0.576 0.576



The following is a DFT calculation (PBE) of crystalline NaSeCl2 at its relaxed geometry.

Results
Energy above the most stable polymorph in this dataset in meV per atom: 703
Formation energy without anion corrections in kJ/mol of atoms: -5
Mass density in g cm⁻³: 2.78
Total DFT energy (no corrections) in eV for the cell shown: -8.7

Lattice parameters (Å, degrees): 9.710 9.710 9.710 21.04 21.04 21.04
Fractional positions:
1 Na 0.000 0.000 0.000
2 Se 0.500 0.500 0.500
3 Cl 0.087 0.087 0.087
4 Cl 0.913 0.913 0.913



The following is a DFT calculation (PBE) of crystalline Ti2GaRePt at its relaxed geometry.

Results
Energy of formation from the pure elements in eV/atom: 0.8527
Mass density in g cm⁻³: 8.41
Total DFT energy (no corrections) in eV for the cell shown: -33.0

Lattice parameters (Å, degrees): 4.742 4.742 4.804 90.00 90.00 90.00
Fractional positions:
1 Ti 0.000 0.500 0.000
2 Ti 0.500 0.000 0.000
3 Ga 0.000 0.000 0.500
4 Re 0.500 0.500 0.500
5 Pt 0.500 0.500 0.000



The following is a DFT calculation (PBE) of crystalline MgSnHIr2 at its relaxed geometry.

Results
Mass density in g cm⁻³: 13.05
Total DFT energy (no corrections) in eV for the cell shown: -27.6

Lattice parameters (Å, degrees): 4.146 4.146 3.913 90.00 90.00 90.00
Fractional positions:
1 Mg 0.000 0.000 0.000
2 Sn 0.500 0.500 0.000
3 H 0.000 0.000 0.500
4 Ir 0.000 0.500 0.500
5 Ir 0.500 0.000 0.500



The following is a DFT calculation (PBE) of crystalline Mn2NbRe at its relaxed geometry.

Results
Energy above the most stable polymorph in this dataset in meV per atom: 523
Energy of formation from the pure elements in eV/atom: 0.5778
Mass density in g cm⁻³: 10.51
Total DFT energy (no corrections) in eV for the cell shown: -77.1

Lattice parameters (Å, degrees): 5.494 5.494 5.494 103.51 103.51 122.20
Fractional positions:
1 Mn 0.106 0.625 0.981
2 Mn 0.375 0.356 0.481
3 Mn 0.644 0.125 0.019
4 Mn 0.875 0.894 0.519
5 Nb 0.250 0.750 0.500
6 Nb 0.500 0.500 0.000
7 Re 0.000 0.000 0.000
8 Re 0.750 0.250 0.500